Nd6Zn5Ag: relaxed, PBE.

DFT formation energy (eV/atom): -0.301
Crystal system: orthorhombic

abc: 9.059 9.059 9.059
angles: 146.53 131.71 60.03
Sites, in units of the cell vectors:
1 Nd 0.079 0.332 0.748
2 Nd 0.245 0.000 0.245
3 Nd 0.416 0.668 0.748
4 Nd 0.584 0.332 0.252
5 Nd 0.755 0.000 0.755
6 Nd 0.921 0.668 0.252
7 Zn 0.000 0.500 0.500
8 Zn 0.167 0.167 0.000
9 Zn 0.332 0.832 0.500
10 Zn 0.668 0.168 0.500
11 Zn 0.833 0.833 0.000
12 Ag 0.500 0.500 0.000

AcTbNd6Sm2: relaxed, PBE.

DFT formation energy (eV/atom): 0.116
Crystal system: monoclinic

abc: 9.126 9.126 9.860
angles: 93.21 93.21 118.09
Sites, in units of the cell vectors:
1 Ac 0.024 0.976 0.750
2 Ac 0.976 0.024 0.250
3 Tb 0.411 0.589 0.250
4 Tb 0.589 0.411 0.750
5 Nd 0.015 0.561 0.686
6 Nd 0.126 0.750 0.054
7 Nd 0.250 0.874 0.446
8 Nd 0.291 0.503 0.882
9 Nd 0.439 0.985 0.814
10 Nd 0.497 0.709 0.618
11 Nd 0.503 0.291 0.382
12 Nd 0.561 0.015 0.186
13 Nd 0.709 0.497 0.118
14 Nd 0.750 0.126 0.554
15 Nd 0.874 0.250 0.946
16 Nd 0.985 0.439 0.314
17 Sm 0.200 0.312 0.546
18 Sm 0.312 0.200 0.046
19 Sm 0.688 0.800 0.954
20 Sm 0.800 0.688 0.454

SrAg2Te: relaxed, PBE.

Formation energy (no corrections) (eV/atom): -0.291
Energy relative to the lowest polymorph listed for this composition (meV/atom): 212
Crystal system: trigonal

abc: 4.998 4.998 15.228
angles: 90.00 90.00 120.00
Sites, in units of the cell vectors:
1 Sr 0.000 0.000 0.000
2 Sr 0.333 0.667 0.667
3 Sr 0.667 0.333 0.333
4 Ag 0.000 0.000 0.223
5 Ag 0.000 0.000 0.777
6 Ag 0.333 0.667 0.444
7 Ag 0.333 0.667 0.890
8 Ag 0.667 0.333 0.110
9 Ag 0.667 0.333 0.556
10 Te 0.000 0.000 0.500
11 Te 0.333 0.667 0.167
12 Te 0.667 0.333 0.833

no.,volume (Å³ per cell),M_tot (Bohr magnetons per cell)
1,303.3,0.000
2,720.0,0.000
3,329.4,0.000